No. 1
A relaxed structure of BaNa2Co, computed with PBE.

Geometry as extended XYZ:
```
8
Lattice="-2.291 2.291 12.587 2.291 -2.291 12.587 2.291 2.291 -12.587" Properties=species:S:1:pos:R:3 pbc="T T T"
Ba 0.000 0.000 0.000
Ba 0.000 2.291 6.293
Na 1.146 -0.977 9.440
Na 1.314 1.146 3.147
Na 1.146 3.268 -3.147
Na 0.977 1.146 15.734
Co 2.291 0.000 6.293
Co 0.000 0.000 12.587
```

Calculated values
**SG**: I-42d
**Energy above the lowest structure with this stoichiometry**: 0 kJ/mol of formula units
**ΔE_f**: 0.56 eV/atom

---

No. 2
A relaxed structure of BaNaCo2, computed with PBE.

Geometry as extended XYZ:
```
8
Lattice="-4.103 4.103 2.797 4.103 -4.103 2.797 4.103 4.103 -2.797" Properties=species:S:1:pos:R:3 pbc="T T T"
Ba 0.000 0.000 0.000
Ba 0.000 4.103 1.399
Na 4.103 0.000 1.399
Na 0.000 0.000 2.797
Co 2.051 2.199 -0.699
Co 6.006 2.051 0.699
Co 2.051 1.903 2.098
Co -1.903 2.051 3.497
```

Calculated values
**SG**: I-42d
**Energy above the lowest structure with this stoichiometry**: 7 kJ/mol of formula units
**ΔE_f**: 1.02 eV/atom

---

No. 3
A relaxed structure of Ba2NaCo, computed with PBE.

Geometry as extended XYZ:
```
8
Lattice="-4.589 4.589 3.758 4.589 -4.589 3.758 4.589 4.589 -3.758" Properties=species:S:1:pos:R:3 pbc="T T T"
Ba 6.883 1.433 -0.940
Ba 1.433 2.294 0.940
Ba -2.294 3.156 2.819
Ba 3.156 2.294 4.698
Na 4.589 0.000 1.879
Na 0.000 0.000 3.758
Co 0.000 0.000 0.000
Co 0.000 4.589 1.879
```

Calculated values
**SG**: I-42d
**Energy above the lowest structure with this stoichiometry**: 7 kJ/mol of formula units
**ΔE_f**: 0.49 eV/atom

---

No. 4
A relaxed structure of BaNaCo3, computed with PBE.

Geometry as extended XYZ:
```
5
Lattice="4.978 0.000 0.000 0.000 4.978 0.000 0.000 0.000 4.978" Properties=species:S:1:pos:R:3 pbc="T T T"
Ba 0.000 0.000 0.000
Na 2.489 2.489 2.489
Co 0.000 0.000 2.489
Co 0.000 2.489 0.000
Co 2.489 0.000 0.000
```

Calculated values
**SG**: Pm-3m
**Energy above the lowest structure with this stoichiometry**: 233 kJ/mol of formula units
**ΔE_f**: 1.99 eV/atom

---

No. 5
A relaxed structure of Ba3NaCo, computed with PBE.

Geometry as extended XYZ:
```
5
Lattice="6.090 0.000 0.000 0.000 6.090 0.000 0.000 0.000 6.090" Properties=species:S:1:pos:R:3 pbc="T T T"
Ba 0.000 0.000 3.045
Ba 0.000 3.045 0.000
Ba 3.045 0.000 0.000
Na 3.045 3.045 3.045
Co 0.000 0.000 0.000
```

Calculated values
**SG**: Pm-3m
**ΔE_f**: 0.20 eV/atom

---

No. 6
A relaxed structure of BaNa2Co, computed with PBE.

Geometry as extended XYZ:
```
4
Lattice="0.000 3.851 3.851 3.851 0.000 3.851 3.851 3.851 0.000" Properties=species:S:1:pos:R:3 pbc="T T T"
Ba 0.000 0.000 0.000
Na 1.925 1.925 1.925
Na 5.776 5.776 5.776
Co 3.851 3.851 3.851
```

Calculated values
**SG**: Fm-3m
**Energy above the lowest structure with this stoichiometry**: 63 kJ/mol of formula units
**ΔE_f**: 0.72 eV/atom

---

Q: Which value of ΔE_f does entry 6 give?
A: 0.72 eV/atom

---

Q: Which of these has the highest ΔE_f?
A: BaNaCo3

---

Q: Which value of ΔE_f does entry 4 give?
A: 1.99 eV/atom

---

Q: What is the ΔE_f in the second record?
A: 1.02 eV/atom